An optimized crystal structure of Tl2PF6, computed with GGA-PBE.

Geometry as POSCAR:
```
Tl2PF6
1.0
6.870 -2.599 0.000
6.870 2.599 0.000
-0.285 0.000 4.586
Tl P F
2 1 6
Cartesian
3.208 0.000 1.143
10.248 0.000 3.443
6.870 0.000 0.000
5.960 1.160 0.716
7.496 1.160 3.870
5.555 0.000 3.312
7.901 0.000 1.274
5.960 -1.160 0.716
7.496 -1.160 3.870
```

Computed properties:
Formation energy without anion corrections (eV/atom): -2.113
Calculated total energy (eV per cell): -40.38
ρ (Mg/m³): 5.61
Density of states at the Fermi level (states/eV/atom): 0.18
Energy relative to the lowest polymorph listed for this composition (eV/atom): 0.015
Magnetic moment (μB/f.u.): 0.0